Computed, not measured: crystalline BaErMnSe4 at its relaxed geometry at the GGA-PBE level of DFT.

Density of states at the Fermi level: 1.9 states/eV/f.u.
Space group: No. 11
Total energy: -5.585 eV/atom
Uncorrected formation energy: -1.357 eV/atom

The structure in extended XYZ format:
```
14
Lattice="6.848 0.000 0.000 0.000 6.543 0.000 -2.751 0.000 8.506" Properties=species:S:1:pos:R:3 pbc="T T T"
Ba 1.542 1.636 0.496
Ba 2.555 4.907 8.010
Er 0.139 1.636 4.740
Er 3.957 4.907 3.766
Mn 0.718 4.907 2.779
Mn 3.378 1.636 5.727
Se -1.841 3.344 6.084
Se -1.841 6.470 6.084
Se 2.532 4.907 1.192
Se 1.388 4.907 5.049
Se 2.709 1.636 3.457
Se 1.565 1.636 7.314
Se 5.937 0.072 2.422
Se 5.937 3.199 2.422
```



Computed, not measured: crystalline BaErMnTe4 at its relaxed geometry at the GGA-PBE level of DFT.

Density of states at the Fermi level: 1.4 states/eV/f.u.
Space group: No. 11
Total energy: -5.028 eV/atom
Uncorrected formation energy: -0.996 eV/atom

The structure in extended XYZ format:
```
14
Lattice="7.708 0.000 0.000 0.000 6.516 0.000 -2.914 0.000 9.191" Properties=species:S:1:pos:R:3 pbc="T T T"
Ba 1.701 1.629 0.531
Ba 3.092 4.887 8.660
Er 0.443 1.629 5.170
Er 4.351 4.887 4.021
Mn 1.070 4.887 2.973
Mn 3.724 1.629 6.218
Te -1.922 3.312 6.566
Te -1.922 6.461 6.566
Te 2.995 4.887 1.190
Te 1.644 4.887 5.530
Te 3.150 1.629 3.661
Te 1.799 1.629 8.001
Te 6.715 0.054 2.625
Te 6.715 3.203 2.625
```